Entry 1:
Material: Nd2Al4CuNi3
Method: DFT, PBE-GGA
State: optimized geometry

Properties
* total magnetic moment: 0.00 Bohr magnetons per cell
* density of states at the Fermi level: 9.27 states/eV/cell
* energy: -5.10 eV per atom
* DFT formation energy: -48.6 kJ/mol of atoms

Lattice parameters (Å, degrees): 4.2657 4.2657 9.6533 90.00 90.00 90.00
Last column: nearest neighbours and their distance in Å.
Fractional coordinates of all 10 atoms:
Ni 0.0000 0.5000 0.1283  5 Al 2.40-2.47
Ni 0.0000 0.0000 0.5000  4 Al 2.44
Ni 0.5000 0.0000 0.8717  5 Al 2.40-2.47
Al 0.0000 0.0000 0.0000  4 Ni 2.47
Al 0.0000 0.5000 0.3768  3 Ni 2.40-2.44, 2 Cu 2.44
Al 0.5000 0.5000 0.0000  4 Ni 2.47
Al 0.5000 0.0000 0.6232  3 Ni 2.40-2.44, 2 Cu 2.44
Nd 0.0000 0.5000 0.7453  6 Ni 3.19-3.25, 2 Cu 3.19, 9 Al 3.24-3.56
Nd 0.5000 0.0000 0.2547  2 Cu 3.19, 6 Ni 3.19-3.25, 9 Al 3.24-3.56
Cu 0.5000 0.5000 0.5000  4 Al 2.44



Entry 2:
Material: AlSiTe2
Method: DFT, PBE-GGA
State: optimized geometry

Properties
* total magnetic moment: 0.00 Bohr magnetons per cell
* density of states at the Fermi level: 1.29 states/eV/cell
* ΔE_f (raw): 0.103 eV/atom
* energy: -3.76 eV per atom

Lattice parameters (Å, degrees): 8.2256 8.2256 8.2256 154.64 153.01 37.37
Last column: nearest neighbours and their distance in Å.
Fractional coordinates of all 4 atoms:
Te 0.7421 0.2421 0.5000  4 Si 2.85
Te 0.0083 0.0083 0.0000  4 Al 2.85
Al 0.4384 0.4384 0.0000  2 Si 2.68, 4 Te 2.85
Si 0.3112 0.8112 0.5000  2 Al 2.68, 4 Te 2.85



Entry 3:
Material: Pr3Y3Mg
Method: DFT, PBE-GGA
State: optimized geometry

Properties
* total magnetic moment: 0.85 Bohr magnetons per cell
* density of states at the Fermi level: 24.20 states/eV/cell
* energy: -5.03 eV per atom
* DFT formation energy: 1.4 kJ/mol of atoms

Lattice parameters (Å, degrees): 5.7238 9.6645 9.6651 120.01 90.00 90.00
Last column: nearest neighbours and their distance in Å.
Fractional coordinates of all 14 atoms:
Pr 0.2500 0.5261 0.6282  3 Mg 3.53-3.72, 5 Y 3.55-3.78, 4 Pr 3.59-3.65
Pr 0.2500 0.3718 0.8979  3 Mg 3.53-3.72, 5 Y 3.55-3.78, 4 Pr 3.59-3.65
Pr 0.7500 0.6282 0.1021  3 Mg 3.53-3.72, 5 Y 3.55-3.78, 4 Pr 3.59-3.65
Pr 0.7500 0.8980 0.5262  3 Mg 3.54-3.72, 5 Y 3.55-3.78, 4 Pr 3.59-3.65
Pr 0.2500 0.1020 0.4738  3 Mg 3.54-3.72, 5 Y 3.55-3.78, 4 Pr 3.59-3.65
Pr 0.7500 0.4739 0.3718  3 Mg 3.53-3.72, 5 Y 3.55-3.78, 4 Pr 3.59-3.65
Mg 0.2500 0.6663 0.3331  9 Pr 3.53-3.72, 3 Y 3.66
Mg 0.7500 0.3337 0.6669  9 Pr 3.53-3.72, 3 Y 3.66
Y 0.7500 0.0534 0.2361  6 Y 3.53-3.59, 5 Pr 3.55-3.78, 1 Mg 3.66
Y 0.2500 0.9466 0.7639  6 Y 3.53-3.59, 5 Pr 3.55-3.78, 1 Mg 3.66
Y 0.7500 0.1829 0.9467  6 Y 3.53-3.59, 5 Pr 3.55-3.78, 1 Mg 3.66
Y 0.2500 0.8171 0.0533  6 Y 3.53-3.59, 5 Pr 3.55-3.78, 1 Mg 3.66
Y 0.2500 0.2360 0.1827  6 Y 3.53-3.59, 5 Pr 3.55-3.78, 1 Mg 3.66
Y 0.7500 0.7640 0.8173  6 Y 3.53-3.59, 5 Pr 3.55-3.78, 1 Mg 3.66



Entry 4:
Material: VPtSeN2
Method: DFT, PBE-GGA
State: optimized geometry

Properties
* total magnetic moment: 2.90 Bohr magnetons per cell
* density of states at the Fermi level: 6.23 states/eV/cell
* ΔE_f (raw): 1.038 eV/atom
* energy: -6.02 eV per atom

Lattice parameters (Å, degrees): 3.7120 3.7120 8.2599 90.00 90.00 90.00
Last column: nearest neighbours and their distance in Å.
Fractional coordinates of all 5 atoms:
Se 0.0000 0.0000 0.5000  4 V 2.62
Pt 0.0000 0.0000 0.0000  4 N 1.86
V 0.5000 0.5000 0.5000  4 Se 2.62
N 0.5000 0.0000 0.0000  2 Pt 1.86
N 0.0000 0.5000 0.0000  2 Pt 1.86



Entry 5:
Material: Tb4Sn8Ir
Method: DFT, PBE-GGA
State: optimized geometry

Properties
* total magnetic moment: 0.00 Bohr magnetons per cell
* density of states at the Fermi level: 5.80 states/eV/cell
* energy: -5.14 eV per atom
* DFT formation energy: -55.2 kJ/mol of atoms

Lattice parameters (Å, degrees): 4.4257 4.4681 16.9261 90.00 90.00 90.00
Last column: nearest neighbours and their distance in Å.
Fractional coordinates of all 13 atoms:
Sn 0.0000 0.0000 0.7526  4 Sn 3.14, 4 Tb 3.32
Sn 0.5000 0.5000 0.7553  4 Sn 3.14, 4 Tb 3.30-3.34
Sn 0.0000 0.5000 0.2298  2 Ir 2.65
Sn 0.5000 0.5000 0.0539  2 Sn 3.04, 4 Tb 3.21
Sn 0.0000 0.5000 0.9311  2 Sn 3.04, 4 Tb 3.19
Sn 0.5000 0.0000 0.2285  2 Ir 2.64
Sn 0.0000 0.0000 0.4655  1 Ir 2.57
Sn 0.5000 0.0000 0.5816  2 Sn 2.96, 4 Tb 3.18
Tb 0.0000 0.5000 0.6076  10 Sn 3.18-3.34
Tb 0.5000 0.0000 0.8991  10 Sn 3.19-3.44
Tb 0.5000 0.5000 0.3912  8 Sn 3.39-3.55, 4 Ir 3.41
Tb 0.0000 0.0000 0.0931  10 Sn 3.19-3.54
Ir 0.0000 0.0000 0.3138  5 Sn 2.57-2.65



Entry 6:
Material: Er2TmTl2Zn2
Method: DFT, PBE-GGA
State: optimized geometry

Properties
* total magnetic moment: 0.00 Bohr magnetons per cell
* density of states at the Fermi level: 3.88 states/eV/cell
* energy: -3.09 eV per atom
* DFT formation energy: -10.8 kJ/mol of atoms

Lattice parameters (Å, degrees): 4.7449 4.7449 9.2330 75.11 75.11 60.00
Last column: nearest neighbours and their distance in Å.
Fractional coordinates of all 7 atoms:
Er 0.8712 0.8712 0.3864  3 Zn 2.99, 3 Tl 3.21
Er 0.1288 0.1288 0.6136  3 Zn 2.99, 3 Tl 3.21
Tm 0.0000 0.0000 0.0000  6 Tl 3.24, 2 Er 3.41, 6 Zn 3.51
Tl 0.2678 0.2678 0.1967  3 Zn 2.78
Tl 0.7322 0.7322 0.8033  3 Zn 2.78
Zn 0.4164 0.4164 0.7509  3 Tl 2.78, 3 Er 2.99
Zn 0.5836 0.5836 0.2491  3 Tl 2.78, 3 Er 2.99



Entry 7:
Material: Er2MnZn12Co3
Method: DFT, PBE-GGA
State: optimized geometry

Properties
* total magnetic moment: 4.20 Bohr magnetons per cell
* density of states at the Fermi level: 10.36 states/eV/cell
* energy: -3.00 eV per atom
* DFT formation energy: 4.4 kJ/mol of atoms

Lattice parameters (Å, degrees): 6.5835 6.5835 6.5835 84.40 84.40 84.40
Last column: nearest neighbours and their distance in Å.
Fractional coordinates of all 18 atoms:
Co 0.0000 0.5000 0.0000  2 Zn 2.55, 2 Er 2.70
Co 0.5000 0.0000 0.0000  2 Zn 2.55, 2 Er 2.70
Co 0.0000 0.0000 0.5000  2 Zn 2.55, 2 Er 2.70
Zn 0.8036 0.8036 0.2803  1 Mn 2.48, 5 Zn 2.51-2.61, 1 Co 2.55
Zn 0.1964 0.7197 0.1964  1 Mn 2.48, 5 Zn 2.51-2.61, 1 Co 2.55
Zn 0.5708 0.5708 0.1560  6 Zn 2.51-2.70
Zn 0.8440 0.4292 0.4292  6 Zn 2.51-2.70
Zn 0.4292 0.4292 0.8440  6 Zn 2.51-2.70
Zn 0.5708 0.1560 0.5708  6 Zn 2.51-2.70
Zn 0.1964 0.1964 0.7197  1 Mn 2.48, 5 Zn 2.51-2.61, 1 Co 2.55
Zn 0.2803 0.8036 0.8036  1 Mn 2.48, 5 Zn 2.51-2.61, 1 Co 2.55
Zn 0.8036 0.2803 0.8036  1 Mn 2.48, 5 Zn 2.51-2.61, 1 Co 2.55
Zn 0.7197 0.1964 0.1964  1 Mn 2.48, 5 Zn 2.51-2.61, 1 Co 2.55
Zn 0.1560 0.5708 0.5708  6 Zn 2.51-2.70
Zn 0.4292 0.8440 0.4292  6 Zn 2.51-2.70
Mn 0.0000 0.0000 0.0000  6 Zn 2.48
Er 0.7630 0.7630 0.7630  3 Co 2.70, 1 Mn 2.95, 3 Zn 2.99
Er 0.2370 0.2370 0.2370  3 Co 2.70, 1 Mn 2.95, 3 Zn 2.99



Entry 8:
Material: PmAl11Ni
Method: DFT, PBE-GGA
State: optimized geometry

Properties
* total magnetic moment: 0.00 Bohr magnetons per cell
* density of states at the Fermi level: 5.32 states/eV/cell
* energy: -4.18 eV per atom
* DFT formation energy: -19.7 kJ/mol of atoms

Lattice parameters (Å, degrees): 5.1566 7.2535 6.7888 83.11 67.68 71.60
Last column: nearest neighbours and their distance in Å.
Fractional coordinates of all 13 atoms:
Al 0.3572 0.6399 0.6519  8 Al 2.70-3.01, 1 Ni 2.73
Al 0.2844 0.2325 0.2160  1 Ni 2.57, 5 Al 2.69-2.76
Al 0.6428 0.3601 0.3481  8 Al 2.70-3.01, 1 Ni 2.73
Al 0.4997 0.7675 0.2160  1 Ni 2.57, 5 Al 2.69-2.76
Al 0.9909 0.3601 0.6519  8 Al 2.70-3.01, 1 Ni 2.73
Al 0.0091 0.6399 0.3481  8 Al 2.70-3.01, 1 Ni 2.73
Al 0.5000 0.0000 0.5000  6 Al 2.58-2.73
Al 0.0000 0.5000 0.0000  2 Ni 2.58, 8 Al 2.69-2.70
Al 0.7156 0.7675 0.7840  1 Ni 2.57, 5 Al 2.69-2.76
Al 0.0000 0.0000 0.5000  6 Al 2.58-2.73
Al 0.5003 0.2325 0.7840  1 Ni 2.57, 5 Al 2.69-2.76
Pm 0.0000 0.0000 0.0000  18 Al 3.31-3.63
Ni 0.5000 0.5000 0.0000  10 Al 2.57-2.73



Entry 9:
Material: SrLa3Ir
Method: DFT, PBE-GGA
State: optimized geometry

Properties
* total magnetic moment: 0.00 Bohr magnetons per cell
* density of states at the Fermi level: 12.50 states/eV/cell
* energy: -5.28 eV per atom
* DFT formation energy: -21.1 kJ/mol of atoms

Lattice parameters (Å, degrees): 16.2149 10.2041 10.2041 108.54 136.94 43.06
Last column: nearest neighbours and their distance in Å.
Fractional coordinates of all 20 atoms:
La 0.9378 0.7183 0.3905  2 Ir 2.93-3.07
La 0.0898 0.9469 0.7308  1 Ir 2.80
La 0.0943 0.2429 0.9986  1 Ir 2.74
La 0.0622 0.2817 0.6095  2 Ir 2.93-3.07
La 0.5622 0.8905 0.2183  2 Ir 2.93-3.07
La 0.9057 0.7571 0.0014  1 Ir 2.74
La 0.4102 0.2308 0.4469  1 Ir 2.80
La 0.4378 0.1095 0.7817  2 Ir 2.93-3.07
La 0.5898 0.7692 0.5531  1 Ir 2.80
La 0.4057 0.4986 0.7429  1 Ir 2.74
La 0.9102 0.0531 0.2692  1 Ir 2.80
La 0.5943 0.5014 0.2571  1 Ir 2.74
Sr 0.2500 0.4971 0.9971  2 Ir 3.31
Sr 0.7500 0.1341 0.6341  2 La 3.59, 2 Ir 3.77
Sr 0.2500 0.8659 0.3659  2 La 3.59, 2 Ir 3.77
Sr 0.7500 0.5029 0.0029  2 Ir 3.31
Ir 0.8679 0.6573 0.6904  3 La 2.74-2.93
Ir 0.3679 0.8096 0.8427  3 La 2.74-2.93
Ir 0.1321 0.3427 0.3096  3 La 2.74-2.93
Ir 0.6321 0.1904 0.1573  3 La 2.74-2.93



Entry 10:
Material: CoSb2
Method: DFT, PBE-GGA
State: optimized geometry

Properties
* total magnetic moment: 1.89 Bohr magnetons per cell
* density of states at the Fermi level: 5.54 states/eV/cell
* ΔE_f (raw): 0.796 eV/atom
* energy: -4.32 eV per atom

Lattice parameters (Å, degrees): 5.1691 5.1691 2.9682 90.00 90.00 120.00
Last column: nearest neighbours and their distance in Å.
Fractional coordinates of all 3 atoms:
Co 0.0000 0.0000 0.5000  2 Co 2.97
Sb 0.3333 0.6667 0.0000  5 Sb 2.97-2.98
Sb 0.6667 0.3333 0.0000  5 Sb 2.97-2.98



Entry 11:
Material: ZrIn2Au
Method: DFT, PBE-GGA
State: optimized geometry

Properties
* total magnetic moment: 0.00 Bohr magnetons per cell
* density of states at the Fermi level: 5.23 states/eV/cell
* energy: -4.46 eV per atom
* DFT formation energy: -12.7 kJ/mol of atoms

Lattice parameters (Å, degrees): 5.7520 5.7520 5.7520 136.88 136.88 62.62
Last column: nearest neighbours and their distance in Å.
Fractional coordinates of all 4 atoms:
In 0.5000 0.5000 0.0000  4 In 2.99, 4 Zr 3.24, 4 Au 3.24
In 0.0000 0.0000 0.0000  4 In 2.99, 4 Zr 3.24, 4 Au 3.24
Au 0.7500 0.2500 0.5000  4 Zr 2.99, 8 In 3.24
Zr 0.2500 0.7500 0.5000  4 Au 2.99, 8 In 3.24



Entry 12:
Material: CaPmAs2
Method: DFT, PBE-GGA
State: optimized geometry

Properties
* total magnetic moment: 0.00 Bohr magnetons per cell
* density of states at the Fermi level: 3.97 states/eV/cell
* energy: -5.13 eV per atom
* DFT formation energy: -107.3 kJ/mol of atoms

Lattice parameters (Å, degrees): 4.2502 4.2502 7.4949 73.53 73.53 60.00
Last column: nearest neighbours and their distance in Å.
Fractional coordinates of all 4 atoms:
As 0.2533 0.2533 0.2400  3 Pm 3.02, 3 Ca 3.12
As 0.0810 0.0810 0.7571  3 Pm 2.96, 3 Ca 3.01
Ca 0.4963 0.4963 0.5111  6 As 3.01-3.12
Pm 0.6694 0.6694 0.9917  6 As 2.96-3.02



Entry 13:
Material: Ac4Pm2Sb3N2
Method: DFT, PBE-GGA
State: optimized geometry

Properties
* total magnetic moment: 0.00 Bohr magnetons per cell
* density of states at the Fermi level: 3.22 states/eV/cell
* ΔE_f (raw): -1.016 eV/atom
* energy: -6.01 eV per atom

Lattice parameters (Å, degrees): 5.0390 5.0390 13.8837 100.46 100.46 90.00
Last column: nearest neighbours and their distance in Å.
Fractional coordinates of all 11 atoms:
Sb 0.0000 0.0000 0.0000  8 Ac 3.40
Sb 0.1816 0.1816 0.3631  5 Pm 3.31-3.58, 4 Ac 3.61
Sb 0.8184 0.8184 0.6369  5 Pm 3.31-3.58, 4 Ac 3.61
Ac 0.9150 0.4150 0.8300  2 N 2.62
Ac 0.4150 0.9150 0.8300  2 N 2.62
Ac 0.5850 0.0850 0.1700  2 N 2.62
Ac 0.0850 0.5850 0.1700  2 N 2.62
Pm 0.6952 0.6952 0.3903  1 N 2.25
Pm 0.3048 0.3048 0.6097  1 N 2.25
N 0.6114 0.6114 0.2228  1 Pm 2.25
N 0.3886 0.3886 0.7772  1 Pm 2.25



Entry 14:
Material: Dy6Sn2C
Method: DFT, PBE-GGA
State: optimized geometry

Properties
* total magnetic moment: 0.00 Bohr magnetons per cell
* density of states at the Fermi level: 11.67 states/eV/cell
* energy: -5.49 eV per atom
* DFT formation energy: -49.3 kJ/mol of atoms

Lattice parameters (Å, degrees): 6.8886 6.8884 9.7483 90.00 90.00 90.00
Last column: nearest neighbours and their distance in Å.
Fractional coordinates of all 18 atoms:
C 0.0000 0.0000 0.5000  6 Dy 2.39-2.40
C 0.5000 0.5000 0.0000  6 Dy 2.39-2.40
Dy 0.2545 0.2539 0.0000  1 C 2.39
Dy 0.7539 0.7545 0.5000  1 C 2.39
Dy 0.7545 0.2461 0.5000  1 C 2.39
Dy 0.4999 0.5000 0.2458  1 C 2.40
Dy 0.5001 0.5000 0.7542  1 C 2.40
Dy 0.7461 0.2545 0.0000  1 C 2.39
Dy 0.9999 0.0000 0.7458  1 C 2.40
Dy 0.7455 0.7461 0.0000  1 C 2.39
Dy 0.2539 0.7455 0.0000  1 C 2.39
Dy 0.2461 0.2455 0.5000  1 C 2.39
Dy 0.0001 0.0000 0.2542  1 C 2.40
Dy 0.2455 0.7539 0.5000  1 C 2.39
Sn 0.9999 0.5000 0.7499  12 Dy 3.44-3.45
Sn 0.0001 0.5000 0.2501  12 Dy 3.44-3.45
Sn 0.5001 0.0000 0.7501  12 Dy 3.44-3.45
Sn 0.4999 0.0000 0.2499  12 Dy 3.44-3.45



Entry 15:
Material: CsK3Th2S6
Method: DFT, PBE-GGA
State: optimized geometry

Properties
* total magnetic moment: 0.00 Bohr magnetons per cell
* density of states at the Fermi level: 0.00 states/eV/cell
* ΔE_f (raw): -1.642 eV/atom
* energy: -5.29 eV per atom

Lattice parameters (Å, degrees): 4.3057 9.2747 9.9519 102.15 102.49 90.00
Last column: nearest neighbours and their distance in Å.
Fractional coordinates of all 12 atoms:
Th 0.8321 0.6615 0.6641  6 S 2.62-2.92
Th 0.1679 0.3385 0.3359  6 S 2.62-2.92
S 0.9703 0.7157 0.9406  1 Th 2.62
S 0.3207 0.4471 0.6413  3 Th 2.91-2.92
S 0.6793 0.5529 0.3587  3 Th 2.91-2.92
S 0.6800 0.1476 0.3599  2 Th 2.83, 1 K 3.14
S 0.3200 0.8524 0.6401  2 Th 2.83, 1 K 3.14
S 0.0297 0.2843 0.0594  1 Th 2.62
Cs 0.5000 0.0000 0.0000  6 S 3.36-3.47
K 0.8436 0.1701 0.6872  3 S 3.14-3.45
K 0.1564 0.8299 0.3128  3 S 3.14-3.45
K 0.5000 0.5000 0.0000  6 S 3.08-3.41